VASP calculation (GGA-PBE) on a relaxed structure of TlFeAgHg.

Structure (POSCAR):
```
TlFeAgHg
1.0
0.000 3.400 3.400
3.400 0.000 3.400
3.400 3.400 0.000
Tl Fe Hg Ag
1 1 1 1
direct
0.000 0.000 0.000
0.750 0.750 0.750
0.500 0.500 0.500
0.250 0.250 0.250
```

Values from the calculation:
For the distance to the lowest polymorph of the same formula, the calculation gives 0.00 eV per formula unit. Its electronic total energy is -0.111 hartree per atom.